Compound: LiTi3O6
Source: the Alexandria database
Functional: PBE
Structure: optimized geometry

Unit cell a=2.978 b=8.335 c=8.600 alpha=107.52 beta=90.00 gamma=90.00
Last column: magnetic moment on the atom in μB.
Fractional positions:
O: 0.750 0.152 0.469  -0.01
O: 0.750 0.789 0.760  -0.01
O: 0.250 0.848 0.531  -0.01
O: 0.750 0.394 0.060  -0.01
O: 0.250 0.606 0.940  -0.01
O: 0.750 0.708 0.255  -0.02
O: 0.750 0.476 0.609  -0.01
O: 0.750 0.921 0.079  0.00
O: 0.250 0.079 0.921  0.00
O: 0.250 0.292 0.745  -0.02
O: 0.250 0.524 0.391  -0.01
O: 0.250 0.211 0.240  -0.01
Ti: 0.750 0.436 0.826  0.39
Ti: 0.250 0.840 0.916  0.25
Ti: 0.750 0.160 0.084  0.25
Ti: 0.750 0.690 0.518  0.30
Ti: 0.250 0.310 0.482  0.30
Ti: 0.250 0.564 0.174  0.39
Li: 0.750 0.047 0.661  0.00
Li: 0.250 0.953 0.339  0.00

Compound: Li7Ti16O32
Source: the Alexandria database
Functional: PBE
Structure: optimized geometry

Unit cell a=5.091 b=11.402 c=11.402 alpha=62.54 beta=90.11 gamma=90.11
Last column: magnetic moment on the atom in μB.
Fractional positions:
O: 0.194 0.417 0.173  0.00
O: 0.305 0.674 0.674  -0.01
O: 0.192 0.177 0.672  -0.02
O: 0.305 0.921 0.428  -0.01
O: 0.716 0.830 0.082  -0.02
O: 0.712 0.581 0.581  0.00
O: 0.708 0.332 0.578  -0.02
O: 0.799 0.078 0.584  0.00
O: 0.709 0.081 0.081  0.00
O: 0.196 0.671 0.917  -0.01
O: 0.708 0.578 0.332  -0.02
O: 0.794 0.582 0.830  -0.01
O: 0.305 0.428 0.921  -0.01
O: 0.304 0.668 0.421  0.00
O: 0.801 0.329 0.072  -0.02
O: 0.788 0.831 0.831  0.00
O: 0.304 0.172 0.920  0.00
O: 0.206 0.925 0.925  -0.02
O: 0.304 0.421 0.668  0.00
O: 0.194 0.173 0.417  0.00
O: 0.196 0.917 0.671  -0.01
O: 0.799 0.584 0.078  0.00
O: 0.298 0.175 0.175  -0.01
O: 0.795 0.332 0.332  -0.01
O: 0.709 0.332 0.828  0.00
O: 0.206 0.419 0.419  -0.01
O: 0.304 0.920 0.172  0.00
O: 0.716 0.082 0.830  -0.02
O: 0.794 0.830 0.582  -0.01
O: 0.192 0.672 0.177  -0.02
O: 0.709 0.828 0.332  0.00
O: 0.801 0.072 0.329  -0.02
Ti: 0.476 0.240 0.742  0.46
Ti: 0.467 0.490 0.490  0.38
Ti: 0.029 0.998 0.487  0.40
Ti: 0.989 0.004 0.762  0.49
Ti: 0.476 0.742 0.240  0.46
Ti: 0.967 0.249 0.511  0.32
Ti: 0.029 0.487 0.998  0.40
Ti: 0.522 0.507 0.758  0.41
Ti: 0.485 0.993 0.993  0.50
Ti: 0.522 0.758 0.507  0.41
Ti: 0.967 0.511 0.249  0.32
Ti: 0.510 0.258 0.010  0.47
Ti: 0.001 0.240 0.240  0.48
Ti: 0.989 0.762 0.004  0.49
Ti: 0.510 0.010 0.258  0.47
Ti: 0.027 0.740 0.740  0.30
Li: 0.565 0.924 0.663  0.00
Li: 0.936 0.419 0.668  0.00
Li: 0.936 0.668 0.419  0.00
Li: 0.426 0.329 0.329  0.00
Li: 0.937 0.921 0.174  0.00
Li: 0.565 0.663 0.924  0.00
Li: 0.937 0.174 0.921  0.00

no.,uncorrected formation energy (eV per atom),total magnetic moment (μB/cell)
1,-2.7934,1.983
2,-2.8304,7.240